Density functional theory data (PBE-GGA) for an optimized crystal structure of Ca2PrAu2.

Structure (POSCAR):
```
Ca2PrAu2
1.0
-2.660 -2.895 2.713
4.161 -4.070 -0.262
1.421 7.230 9.110
Pr Ca Au
2 4 4
Direct
0.250 0.811 0.210
0.750 0.189 0.790
0.750 0.706 0.461
0.250 0.294 0.539
0.250 0.767 0.879
0.750 0.233 0.121
0.750 0.666 0.027
0.250 0.874 0.641
0.750 0.126 0.359
0.250 0.334 0.973
```

Calculated values
crystal system: monoclinic
raw total energy: -3.69 eV per atom
distance to the lowest polymorph of the same formula: 5 meV/atom
formation enthalpy at 0 K: -60.06 kJ/mol of atoms